[1]
Material: KUO3
Method: DFT, meta-GGA SCAN
State: PBEsol geometry

a b c (Å): 4.283 4.283 4.283
angles (deg): 90.00 90.00 90.00
Fractional coordinates of all 5 atoms:
K (0.000, 0.000, 0.000)
U (0.500, 0.500, 0.500)
O (0.000, 0.500, 0.500)
O (0.500, 0.000, 0.500)
O (0.500, 0.500, 0.000)

As for the theoretical density: 6.9 g cm⁻³. The crystal system is cubic. The value obtained for the volume is 78.59 Å³/f.u. As for the total energy: -29.231 eV/atom. The calculation puts the uncorrected formation energy at -3.121 eV per atom.



[2]
Material: K2U2O7
Method: DFT, meta-GGA SCAN
State: PBEsol geometry

a b c (Å): 6.910 7.928 7.061
angles (deg): 90.00 109.44 90.00
Fractional coordinates of all 22 atoms:
K (0.016, 0.000, 0.007)
K (0.479, 0.761, 0.994)
K (0.521, 0.261, 0.006)
K (0.984, 0.500, 0.993)
U (0.031, 0.258, 0.506)
U (0.477, 0.504, 0.496)
U (0.523, 0.004, 0.504)
U (0.969, 0.758, 0.494)
O (0.063, 0.747, 0.775)
O (0.124, 0.256, 0.787)
O (0.149, 0.523, 0.489)
O (0.235, 0.898, 0.497)
O (0.364, 0.246, 0.516)
O (0.383, 0.501, 0.214)
O (0.429, 0.018, 0.222)
O (0.571, 0.518, 0.778)
O (0.617, 0.001, 0.786)
O (0.636, 0.746, 0.484)
O (0.765, 0.398, 0.503)
O (0.851, 0.023, 0.511)
O (0.876, 0.756, 0.213)
O (0.937, 0.247, 0.225)

As for the theoretical density: 6.1 g cm⁻³. The crystal system is monoclinic. The value obtained for the volume is 182.39 Å³/f.u. As for the total energy: -27.371 eV/atom. The calculation puts the uncorrected formation energy at -3.068 eV per atom.